1.
# PBEsol LaTi3Bi3O12, relaxed
# Energy relative to the elements, uncorrected: -2.476 eV/atom
data_LaTi3Bi3O12
_cell_length_a 16.708
_cell_length_b 5.382
_cell_length_c 5.395
_cell_angle_alpha 90.00
_cell_angle_beta 98.91
_cell_angle_gamma 90.00
_space_group_name_H-M_alt 'P 1 c 1'
_space_group_IT_number 7
_space_group_name_Hall 'P -2yc'
loop_
_atom_site_label
_atom_site_fract_x
_atom_site_fract_y
_atom_site_fract_z
La1 0.000 0.246 0.000
Ti1 0.126 0.252 0.559
Ti2 0.613 0.251 0.300
Ti3 0.870 0.253 0.421
Bi1 0.292 0.270 0.088
Bi2 0.448 0.230 0.663
Bi3 0.737 0.252 0.816
O1 0.091 0.497 0.292
O2 0.109 0.007 0.809
O3 0.232 0.300 0.618
O4 0.368 0.005 0.890
O5 0.371 0.495 0.391
O6 0.508 0.191 0.252
O7 0.621 0.447 0.620
O8 0.649 0.032 0.051
O9 0.751 0.321 0.400
O10 0.856 0.049 0.131
O11 0.883 0.449 0.744
O12 0.984 0.204 0.488

=====

2.
# PBEsol LaV2BiO8, relaxed
# Energy relative to the elements, uncorrected: -2.512 eV/atom
data_LaV2BiO8
_cell_length_a 7.361
_cell_length_b 7.361
_cell_length_c 6.448
_cell_angle_alpha 90.00
_cell_angle_beta 90.00
_cell_angle_gamma 90.00
_space_group_name_H-M_alt 'I -4 m 2'
_space_group_IT_number 119
_space_group_name_Hall 'I -4 -2'
loop_
_atom_site_label
_atom_site_fract_x
_atom_site_fract_y
_atom_site_fract_z
La1 0.000 0.000 0.000
V1 0.000 0.000 0.500
V2 0.000 0.500 0.750
Bi1 0.000 0.500 0.250
O1 0.000 0.181 0.332
O2 0.000 0.322 0.922

=====

3.
# PBEsol La3BiOs, relaxed
# Energy of formation: -0.3559 eV/atom
data_La3BiOs
_cell_length_a 5.468
_cell_length_b 5.468
_cell_length_c 5.468
_cell_angle_alpha 90.00
_cell_angle_beta 90.00
_cell_angle_gamma 90.00
_space_group_name_H-M_alt 'P m -3 m'
_space_group_IT_number 221
_space_group_name_Hall '-P 4 2 3'
loop_
_atom_site_label
_atom_site_fract_x
_atom_site_fract_y
_atom_site_fract_z
La1 0.000 0.000 0.500
Bi1 0.500 0.500 0.500
Os1 0.000 0.000 0.000

=====

4.
# PBEsol LaBi3P, relaxed
# Energy of formation: 1.1275 eV/atom
data_LaBi3P
_cell_length_a 6.046
_cell_length_b 6.046
_cell_length_c 6.046
_cell_angle_alpha 90.00
_cell_angle_beta 90.00
_cell_angle_gamma 90.00
_space_group_name_H-M_alt 'P m -3 m'
_space_group_IT_number 221
_space_group_name_Hall '-P 4 2 3'
loop_
_atom_site_label
_atom_site_fract_x
_atom_site_fract_y
_atom_site_fract_z
La1 0.000 0.000 0.000
Bi1 0.000 0.000 0.500
P1 0.500 0.500 0.500

=====

no.,size of the total moment (μB/f.u.)
1,0.00
2,0.00
3,0.00
4,2.23